[1]
A relaxed structure of TlInGa2Pt, computed with GGA-PBE.

As for the crystal system: tetragonal. Its calculated formation energy is -0.18 eV per atom. The raw total energy comes out at -3.6201 eV per atom.

Cell and atoms, written as CIF:
```
data_TlInGa2Pt
_cell_length_a 4.847
_cell_length_b 4.847
_cell_length_c 5.417
_cell_angle_alpha 90.00
_cell_angle_beta 90.00
_cell_angle_gamma 90.00
_space_group_name_H-M_alt 'P 1'
_space_group_IT_number 1
_space_group_name_Hall 'P 1'
loop_
_atom_site_label
_atom_site_type_symbol
_atom_site_fract_x
_atom_site_fract_y
_atom_site_fract_z
Ga1 Ga 0.000 0.500 0.000
Ga2 Ga 0.500 0.000 0.000
Pt1 Pt 0.000 0.000 0.000
In1 In 0.000 0.000 0.500
Tl1 Tl 0.500 0.500 0.500
```

=====

[2]
A relaxed structure of TmInGaPt, computed with GGA-PBE.

As for the crystal system: cubic. Its calculated formation energy is -0.66 eV per atom. The raw total energy comes out at -4.7288 eV per atom.

Cell and atoms, written as CIF:
```
data_TmInGaPt
_cell_length_a 4.829
_cell_length_b 4.829
_cell_length_c 4.829
_cell_angle_alpha 60.00
_cell_angle_beta 60.00
_cell_angle_gamma 60.00
_space_group_name_H-M_alt 'P 1'
_space_group_IT_number 1
_space_group_name_Hall 'P 1'
loop_
_atom_site_label
_atom_site_type_symbol
_atom_site_fract_x
_atom_site_fract_y
_atom_site_fract_z
Pt1 Pt 0.750 0.750 0.750
In1 In 0.500 0.500 0.500
Tm1 Tm 0.000 0.000 0.000
Ga1 Ga 0.250 0.250 0.250
```

=====

[3]
A relaxed structure of Y2InGa2Pt5, computed with GGA-PBE.

As for the crystal system: tetragonal. Its calculated formation energy is -0.86 eV per atom. The raw total energy comes out at -6.0572 eV per atom.

Cell and atoms, written as CIF:
```
data_Y2InGa2Pt5
_cell_length_a 3.827
_cell_length_b 9.812
_cell_length_c 9.812
_cell_angle_alpha 90.00
_cell_angle_beta 90.00
_cell_angle_gamma 90.00
_space_group_name_H-M_alt 'P 1'
_space_group_IT_number 1
_space_group_name_Hall 'P 1'
loop_
_atom_site_label
_atom_site_type_symbol
_atom_site_fract_x
_atom_site_fract_y
_atom_site_fract_z
Ga1 Ga 0.000 0.878 0.378
Ga2 Ga 0.000 0.122 0.622
Ga3 Ga 0.000 0.378 0.122
Ga4 Ga 0.000 0.622 0.878
Y1 Y 0.000 0.676 0.176
Y2 Y 0.000 0.324 0.824
Y3 Y 0.000 0.176 0.324
Y4 Y 0.000 0.824 0.676
In1 In 0.000 0.500 0.500
In2 In 0.000 0.000 0.000
Pt1 Pt 0.500 0.790 0.935
Pt2 Pt 0.500 0.290 0.565
Pt3 Pt 0.500 0.500 0.000
Pt4 Pt 0.500 0.065 0.790
Pt5 Pt 0.500 0.565 0.710
Pt6 Pt 0.500 0.000 0.500
Pt7 Pt 0.500 0.935 0.210
Pt8 Pt 0.500 0.210 0.065
Pt9 Pt 0.500 0.435 0.290
Pt10 Pt 0.500 0.710 0.435
```

=====

[4]
A relaxed structure of Y2InGa4Pt3, computed with GGA-PBE.

As for the crystal system: tetragonal. Its calculated formation energy is -0.82 eV per atom. The raw total energy comes out at -5.4107 eV per atom.

Cell and atoms, written as CIF:
```
data_Y2InGa4Pt3
_cell_length_a 4.228
_cell_length_b 4.228
_cell_length_c 10.933
_cell_angle_alpha 90.00
_cell_angle_beta 90.00
_cell_angle_gamma 90.00
_space_group_name_H-M_alt 'P 1'
_space_group_IT_number 1
_space_group_name_Hall 'P 1'
loop_
_atom_site_label
_atom_site_type_symbol
_atom_site_fract_x
_atom_site_fract_y
_atom_site_fract_z
Y1 Y 0.000 0.500 0.764
Y2 Y 0.500 0.000 0.236
Ga1 Ga 0.500 0.500 0.000
Ga2 Ga 0.500 0.000 0.649
Ga3 Ga 0.000 0.500 0.351
Ga4 Ga 0.000 0.000 0.000
Pt1 Pt 0.500 0.000 0.871
Pt2 Pt 0.000 0.000 0.500
Pt3 Pt 0.000 0.500 0.129
In1 In 0.500 0.500 0.500
```

=====

[5]
A relaxed structure of Y2InGa3Pt4, computed with GGA-PBE.

As for the crystal system: tetragonal. Its calculated formation energy is -0.91 eV per atom. The raw total energy comes out at -5.7963 eV per atom.

Cell and atoms, written as CIF:
```
data_Y2InGa3Pt4
_cell_length_a 4.099
_cell_length_b 4.099
_cell_length_c 11.539
_cell_angle_alpha 90.00
_cell_angle_beta 90.00
_cell_angle_gamma 90.00
_space_group_name_H-M_alt 'P 1'
_space_group_IT_number 1
_space_group_name_Hall 'P 1'
loop_
_atom_site_label
_atom_site_type_symbol
_atom_site_fract_x
_atom_site_fract_y
_atom_site_fract_z
Pt1 Pt 0.500 0.000 0.658
Pt2 Pt 0.000 0.000 0.000
Pt3 Pt 0.000 0.500 0.342
Pt4 Pt 0.500 0.500 0.000
Y1 Y 0.000 0.500 0.759
Y2 Y 0.500 0.000 0.241
In1 In 0.500 0.500 0.500
Ga1 Ga 0.000 0.000 0.500
Ga2 Ga 0.000 0.500 0.130
Ga3 Ga 0.500 0.000 0.870
```

=====

[6]
A relaxed structure of Pu2InGa, computed with GGA-PBE.

As for the crystal system: trigonal. Its calculated formation energy is -0.04 eV per atom. As for the energy above the most stable polymorph in this dataset: 0.69 eV/f.u. The raw total energy comes out at -8.6508 eV per atom.

Cell and atoms, written as CIF:
```
data_Pu2InGa
_cell_length_a 3.312
_cell_length_b 3.312
_cell_length_c 10.653
_cell_angle_alpha 81.06
_cell_angle_beta 81.06
_cell_angle_gamma 60.00
_space_group_name_H-M_alt 'P 1'
_space_group_IT_number 1
_space_group_name_Hall 'P 1'
loop_
_atom_site_label
_atom_site_type_symbol
_atom_site_fract_x
_atom_site_fract_y
_atom_site_fract_z
Pu1 Pu 0.744 0.744 0.768
Pu2 Pu 0.256 0.256 0.232
Ga1 Ga 0.000 0.000 0.000
In1 In 0.500 0.500 0.500
```

=====

[7]
A relaxed structure of Pu2InGa2, computed with GGA-PBE.

As for the crystal system: tetragonal. Its calculated formation energy is -0.25 eV per atom. As for the energy above the most stable polymorph in this dataset: 0.30 eV/f.u. The raw total energy comes out at -7.7437 eV per atom.

Cell and atoms, written as CIF:
```
data_Pu2InGa2
_cell_length_a 7.124
_cell_length_b 7.124
_cell_length_c 9.176
_cell_angle_alpha 90.00
_cell_angle_beta 90.00
_cell_angle_gamma 90.00
_space_group_name_H-M_alt 'P 1'
_space_group_IT_number 1
_space_group_name_Hall 'P 1'
loop_
_atom_site_label
_atom_site_type_symbol
_atom_site_fract_x
_atom_site_fract_y
_atom_site_fract_z
Pu1 Pu 0.331 0.169 0.500
Pu2 Pu 0.169 0.669 0.500
Pu3 Pu 0.831 0.331 0.500
Pu4 Pu 0.169 0.669 0.000
Pu5 Pu 0.669 0.831 0.000
Pu6 Pu 0.331 0.169 0.000
Pu7 Pu 0.669 0.831 0.500
Pu8 Pu 0.831 0.331 0.000
Ga1 Ga 0.372 0.872 0.250
Ga2 Ga 0.872 0.628 0.250
Ga3 Ga 0.628 0.128 0.750
Ga4 Ga 0.128 0.372 0.750
Ga5 Ga 0.372 0.872 0.750
Ga6 Ga 0.128 0.372 0.250
Ga7 Ga 0.628 0.128 0.250
Ga8 Ga 0.872 0.628 0.750
In1 In 0.500 0.500 0.250
In2 In 0.000 0.000 0.250
In3 In 0.000 0.000 0.750
In4 In 0.500 0.500 0.750
```

=====

[8]
A relaxed structure of Pu2InGa, computed with GGA-PBE.

As for the crystal system: tetragonal. Its calculated formation energy is -0.22 eV per atom. As for the energy above the most stable polymorph in this dataset: 0.00 eV/f.u. The raw total energy comes out at -8.8241 eV per atom.

Cell and atoms, written as CIF:
```
data_Pu2InGa
_cell_length_a 4.763
_cell_length_b 4.439
_cell_length_c 4.439
_cell_angle_alpha 90.00
_cell_angle_beta 90.00
_cell_angle_gamma 90.00
_space_group_name_H-M_alt 'P 1'
_space_group_IT_number 1
_space_group_name_Hall 'P 1'
loop_
_atom_site_label
_atom_site_type_symbol
_atom_site_fract_x
_atom_site_fract_y
_atom_site_fract_z
Pu1 Pu 0.000 0.500 0.000
Pu2 Pu 0.000 0.000 0.500
Ga1 Ga 0.500 0.500 0.500
In1 In 0.500 0.000 0.000
```

=====

Q: Which value of calculated formation energy does entry 2 give?
A: -0.66 eV per atom

=====

Q: The highest raw total energy belongs to which entry?
A: TlInGa2Pt

=====

Copy entry 2 word for word.
A relaxed structure of TmInGaPt, computed with GGA-PBE.

As for the crystal system: cubic. Its calculated formation energy is -0.66 eV per atom. The raw total energy comes out at -4.7288 eV per atom.

Cell and atoms, written as CIF:
```
data_TmInGaPt
_cell_length_a 4.829
_cell_length_b 4.829
_cell_length_c 4.829
_cell_angle_alpha 60.00
_cell_angle_beta 60.00
_cell_angle_gamma 60.00
_space_group_name_H-M_alt 'P 1'
_space_group_IT_number 1
_space_group_name_Hall 'P 1'
loop_
_atom_site_label
_atom_site_type_symbol
_atom_site_fract_x
_atom_site_fract_y
_atom_site_fract_z
Pt1 Pt 0.750 0.750 0.750
In1 In 0.500 0.500 0.500
Tm1 Tm 0.000 0.000 0.000
Ga1 Ga 0.250 0.250 0.250
```

=====

Q: Which value of calculated formation energy does entry 2 give?
A: -0.66 eV per atom